10
Lattice="4.3186 -8.4032 0.0000 4.3186 8.4032 0.0000 0.0000 0.0000 5.2439" Properties=species:S:1:pos:R:3 comment="Tb2SmTm7 | Alexandria via LeMat-Bulk | PBE-GGA | optimized geometry" energy_ev_per_atom=-3.814 pbc="T T T"
Tb 4.3186 5.0264 0.0000
Tb 4.3186 -5.0264 0.0000
Sm 4.3186 0.0000 2.6219
Tm 0.0000 0.0000 0.0000
Tm 2.7830 1.8667 0.0000
Tm 4.3186 3.3576 2.6219
Tm 2.7830 -1.8667 0.0000
Tm 5.8542 1.8667 0.0000
Tm 4.3186 -3.3576 2.6219
Tm 5.8542 -1.8667 0.0000